(1)
# PBE ReTe2Se2S, relaxed
data_ReTe2Se2S
_chemical_formula_sum 'Re2 Te4 Se4 S2'
_cell_length_a 7.2100
_cell_length_b 7.3448
_cell_length_c 7.6055
_cell_angle_alpha 94.35
_cell_angle_beta 105.76
_cell_angle_gamma 108.91
_symmetry_space_group_name_H-M 'P -1'
_symmetry_Int_Tables_number 2
_symmetry_space_group_name_Hall '-P 1'
loop_
_atom_site_label
_atom_site_type_symbol
_atom_site_fract_x
_atom_site_fract_y
_atom_site_fract_z
Re1 Re 0.2255 0.0403 0.0155
Te1 Te 0.2648 0.4298 0.0352
Te2 Te 0.4764 0.0939 0.7864
Se1 Se 0.0651 0.6909 0.8296
Se2 Se 0.0677 0.0202 0.2696
S1 S 0.4651 0.7591 0.7296
# V = 361 Å³ per cell

***

(2)
# PBE ReTe3SeS, relaxed
data_ReTe3SeS
_chemical_formula_sum 'Re2 Te6 Se2 S2'
_cell_length_a 6.9338
_cell_length_b 7.2335
_cell_length_c 8.1003
_cell_angle_alpha 63.75
_cell_angle_beta 73.39
_cell_angle_gamma 71.19
_symmetry_space_group_name_H-M 'P -1'
_symmetry_Int_Tables_number 2
_symmetry_space_group_name_Hall '-P 1'
loop_
_atom_site_label
_atom_site_type_symbol
_atom_site_fract_x
_atom_site_fract_y
_atom_site_fract_z
Re1 Re 0.0016 0.1908 0.4968
Te1 Te 0.0014 0.7361 0.0167
Te2 Te 0.2293 0.3814 0.5983
Te3 Te 0.2643 0.8505 0.1724
Se1 Se 0.2382 0.3106 0.1972
S1 S 0.2206 0.8653 0.6316
# V = 340 Å³ per cell

***

(3)
# PBE ReTe2SeS2, relaxed
data_ReTe2SeS2
_chemical_formula_sum 'Re2 Te4 Se2 S4'
_cell_length_a 6.8777
_cell_length_b 6.8925
_cell_length_c 7.8168
_cell_angle_alpha 63.89
_cell_angle_beta 77.75
_cell_angle_gamma 72.28
_symmetry_space_group_name_H-M 'P -1'
_symmetry_Int_Tables_number 2
_symmetry_space_group_name_Hall '-P 1'
loop_
_atom_site_label
_atom_site_type_symbol
_atom_site_fract_x
_atom_site_fract_y
_atom_site_fract_z
Re1 Re 0.0055 0.2083 0.0007
Te1 Te 0.0030 0.7234 0.5254
Te2 Te 0.2716 0.8505 0.6753
Se1 Se 0.2624 0.2933 0.7243
S1 S 0.1776 0.3889 0.1246
S2 S 0.2049 0.8491 0.1601
# V = 316 Å³ per cell

***

(4)
# PBE ReTe3SeS, relaxed
data_ReTe3SeS
_chemical_formula_sum 'Re2 Te6 Se2 S2'
_cell_length_a 7.1113
_cell_length_b 7.2954
_cell_length_c 8.0198
_cell_angle_alpha 63.11
_cell_angle_beta 74.60
_cell_angle_gamma 71.90
_symmetry_space_group_name_H-M 'P -1'
_symmetry_Int_Tables_number 2
_symmetry_space_group_name_Hall '-P 1'
loop_
_atom_site_label
_atom_site_type_symbol
_atom_site_fract_x
_atom_site_fract_y
_atom_site_fract_z
Re1 Re 0.0006 0.2978 0.4962
Te1 Te 0.0028 0.2451 0.0176
Te2 Te 0.2278 0.8857 0.5880
Te3 Te 0.2712 0.3505 0.6352
Se1 Se 0.2105 0.8260 0.1794
S1 S 0.1904 0.3662 0.1961
# V = 349 Å³ per cell

***

(5)
# PBE ReTe3SeS, relaxed
data_ReTe3SeS
_chemical_formula_sum 'Re2 Te6 Se2 S2'
_cell_length_a 7.0431
_cell_length_b 7.3080
_cell_length_c 8.0241
_cell_angle_alpha 63.31
_cell_angle_beta 88.42
_cell_angle_gamma 71.23
_symmetry_space_group_name_H-M 'P -1'
_symmetry_Int_Tables_number 2
_symmetry_space_group_name_Hall '-P 1'
loop_
_atom_site_label
_atom_site_type_symbol
_atom_site_fract_x
_atom_site_fract_y
_atom_site_fract_z
Re1 Re 0.0000 0.2012 0.0048
Te1 Te 0.0026 0.2553 0.4830
Te2 Te 0.2297 0.4725 0.9103
Te3 Te 0.2744 0.9837 0.8638
Se1 Se 0.2148 0.5447 0.3168
S1 S 0.1900 0.0164 0.3061
# V = 346 Å³ per cell

***

(6)
# PBE ReTe3SeS, relaxed
data_ReTe3SeS
_chemical_formula_sum 'Re2 Te6 Se2 S2'
_cell_length_a 6.9664
_cell_length_b 7.1445
_cell_length_c 8.3460
_cell_angle_alpha 68.46
_cell_angle_beta 66.72
_cell_angle_gamma 76.67
_symmetry_space_group_name_H-M 'P -1'
_symmetry_Int_Tables_number 2
_symmetry_space_group_name_Hall '-P 1'
loop_
_atom_site_label
_atom_site_type_symbol
_atom_site_fract_x
_atom_site_fract_y
_atom_site_fract_z
Re1 Re 0.1908 0.0059 0.4885
Te1 Te 0.2381 0.9430 0.9753
Te2 Te 0.3064 0.2341 0.1337
Te3 Te 0.4122 0.2164 0.5739
Se1 Se 0.2248 0.7124 0.7611
S1 S 0.0828 0.7766 0.4081
# V = 353 Å³ per cell

***

Number 1: electronic total energy -4.941 eV/atom. Number 2: electronic total energy -4.948 eV/atom. Number 3: electronic total energy -5.120 eV/atom. Number 4: electronic total energy -4.906 eV/atom. Number 5: electronic total energy -4.907 eV/atom. Number 6: electronic total energy -4.955 eV/atom.